# GGA+U K2NpW3O12, relaxed
data_K2NpW3O12
_chemical_formula_sum 'K6 Np3 W9 O36'
_cell_length_a 7.4620
_cell_length_b 7.4620
_cell_length_c 18.8347
_cell_angle_alpha 90.00
_cell_angle_beta 90.00
_cell_angle_gamma 120.00
_symmetry_space_group_name_H-M 'R -3 m'
_symmetry_Int_Tables_number 166
_symmetry_space_group_name_Hall '-R 3 2"'
loop_
_atom_site_label
_atom_site_type_symbol
_atom_site_fract_x
_atom_site_fract_y
_atom_site_fract_z
K1 K 0.0000 0.0000 0.1559
Np1 Np 0.0000 0.0000 0.5000
W1 W 0.0000 0.5000 0.0000
O1 O 0.0580 0.5290 0.1016
O2 O 0.0889 0.5445 0.3481
# crystal system: trigonal
# VASP energy: -0.556 Ry per atom